i) First-principles (PBE) data for a relaxed AlZn2As crystal, as listed in Alexandria via LeMat-Bulk.

a b c (Å): 3.733 3.733 5.037
angles (deg): 90.00 90.00 90.00
Sites, in units of the cell vectors:
1 Al 0.000 0.000 0.000
2 Zn 0.000 0.500 0.500
3 Zn 0.500 0.000 0.500
4 As 0.500 0.500 0.000

Calculated values
As for the crystal system: tetragonal. The magnetic moment comes out at 0.0 μB/f.u.

---

ii) First-principles (PBE) data for a relaxed AlZn2As crystal, as listed in Alexandria via LeMat-Bulk.

a b c (Å): 2.926 3.937 5.920
angles (deg): 90.00 90.00 90.00
Sites, in units of the cell vectors:
1 Al 0.000 0.000 0.000
2 Zn 0.500 0.500 0.234
3 Zn 0.500 0.500 0.766
4 As 0.000 0.000 0.500

Calculated values
As for the crystal system: orthorhombic. The magnetic moment comes out at 0.0 μB/f.u.

---

iii) First-principles (PBE) data for a relaxed AlZn2As crystal, as listed in Alexandria via LeMat-Bulk.

a b c (Å): 4.648 4.648 4.648
angles (deg): 60.00 60.00 60.00
Sites, in units of the cell vectors:
1 Al 0.000 0.000 0.000
2 Zn 0.500 0.500 0.500
3 Zn 0.750 0.750 0.750
4 As 0.250 0.250 0.250

Calculated values
As for the crystal system: cubic. The magnetic moment comes out at 0.0 μB/f.u.

---

Stability ranking, top entry: i); the second entry is 25 meV per atom less favorable.

---

i) First-principles (PBE) data for a relaxed AlZn2As crystal, as listed in Alexandria via LeMat-Bulk.

a b c (Å): 6.297 6.297 6.297
angles (deg): 118.56 118.56 92.51
Sites, in units of the cell vectors:
1 Al 0.000 0.000 0.000
2 Al 0.750 0.250 0.500
3 Zn 0.147 0.625 0.022
4 Zn 0.375 0.397 0.522
5 Zn 0.603 0.125 0.978
6 Zn 0.875 0.853 0.478
7 As 0.250 0.750 0.500
8 As 0.500 0.500 0.000

Calculated values
As for the crystal system: tetragonal. The magnetic moment comes out at 0.0 μB/f.u.

---

ii) First-principles (PBE) data for a relaxed AlZn2As crystal, as listed in Alexandria via LeMat-Bulk.

a b c (Å): 2.946 4.023 6.040
angles (deg): 90.00 102.95 90.00
Sites, in units of the cell vectors:
1 Al 0.000 0.000 0.000
2 Zn 0.360 0.500 0.774
3 Zn 0.640 0.500 0.226
4 As 0.000 0.000 0.500

Calculated values
As for the crystal system: monoclinic. The magnetic moment comes out at 0.0 μB/f.u.

---

iii) First-principles (PBE) data for a relaxed AlZn2As crystal, as listed in Alexandria via LeMat-Bulk.

a b c (Å): 3.650 3.650 5.297
angles (deg): 90.00 90.00 90.00
Sites, in units of the cell vectors:
1 Al 0.000 0.000 0.000
2 Zn 0.000 0.000 0.510
3 Zn 0.500 0.500 0.664
4 As 0.500 0.500 0.155

Calculated values
As for the crystal system: tetragonal. The magnetic moment comes out at 0.0 μB/f.u.

---

iv) First-principles (PBE) data for a relaxed AlZn2As crystal, as listed in Alexandria via LeMat-Bulk.

a b c (Å): 2.656 5.346 5.106
angles (deg): 90.00 90.00 90.00
Sites, in units of the cell vectors:
1 Al 0.000 0.000 0.000
2 Zn 0.000 0.500 0.503
3 Zn 0.500 0.000 0.500
4 As 0.000 0.500 0.003

Calculated values
As for the crystal system: orthorhombic. The magnetic moment comes out at 0.0 μB/f.u.

---

Stability ranking, top entry: iii); the second entry is 12 meV per atom less favorable.

---

i) First-principles (PBE) data for a relaxed AlZn2As crystal, as listed in Alexandria via LeMat-Bulk.

a b c (Å): 4.652 4.652 4.652
angles (deg): 60.00 60.00 60.00
Sites, in units of the cell vectors:
1 Al 0.000 0.000 0.000
2 Zn 0.250 0.250 0.250
3 Zn 0.750 0.750 0.750
4 As 0.500 0.500 0.500

Calculated values
As for the crystal system: cubic. The magnetic moment comes out at 0.0 μB/f.u.

---

ii) First-principles (PBE) data for a relaxed AlZn2As crystal, as listed in Alexandria via LeMat-Bulk.

a b c (Å): 5.652 5.652 3.753
angles (deg): 108.70 108.70 124.91
Sites, in units of the cell vectors:
1 Al 0.000 0.000 0.000
2 Zn 0.000 0.500 0.000
3 Zn 0.500 0.000 0.000
4 As 0.500 0.500 0.000

Calculated values
As for the crystal system: monoclinic. The magnetic moment comes out at 0.0 μB/f.u.

---

iii) First-principles (PBE) data for a relaxed AlZn2As crystal, as listed in Alexandria via LeMat-Bulk.

a b c (Å): 2.936 3.912 5.938
angles (deg): 90.00 90.00 90.00
Sites, in units of the cell vectors:
1 Al 0.000 0.000 0.000
2 Zn 0.000 0.000 0.532
3 Zn 0.500 0.500 0.729
4 As 0.500 0.500 0.217

Calculated values
As for the crystal system: orthorhombic. The magnetic moment comes out at 0.0 μB/f.u.

---

iv) First-principles (PBE) data for a relaxed AlZn2As crystal, as listed in Alexandria via LeMat-Bulk.

a b c (Å): 9.147 9.147 9.147
angles (deg): 18.59 18.59 18.59
Sites, in units of the cell vectors:
1 Al 0.000 0.000 0.000
2 Zn 0.252 0.252 0.252
3 Zn 0.748 0.748 0.748
4 As 0.500 0.500 0.500

Calculated values
As for the crystal system: trigonal. The magnetic moment comes out at 0.0 μB/f.u.

---

Stability ranking, top entry: ii); the second entry is 55 meV per atom less favorable.

---

i) First-principles (PBE) data for a relaxed Al2ZnAs crystal, as listed in Alexandria via LeMat-Bulk.

a b c (Å): 4.461 4.461 3.484
angles (deg): 90.00 90.00 90.00
Sites, in units of the cell vectors:
1 Al 0.000 0.500 0.000
2 Al 0.500 0.000 0.000
3 Zn 0.000 0.000 0.500
4 As 0.500 0.500 0.500

Calculated values
As for the crystal system: tetragonal. The magnetic moment comes out at 0.0 μB/f.u.

---

ii) First-principles (PBE) data for a relaxed Al2ZnAs crystal, as listed in Alexandria via LeMat-Bulk.

a b c (Å): 4.632 4.632 4.632
angles (deg): 60.00 60.00 60.00
Sites, in units of the cell vectors:
1 Al 0.250 0.250 0.250
2 Al 0.750 0.750 0.750
3 Zn 0.000 0.000 0.000
4 As 0.500 0.500 0.500

Calculated values
As for the crystal system: cubic. The magnetic moment comes out at 0.0 μB/f.u.

---

Stability ranking, top entry: i); the second entry is 59 meV per atom less favorable.